1.
Below is a relaxed TcIr2Pt crystal, with properties calculated at the PBE level.

Summary:
- Energy relative to the elements: -0.10 eV/atom
- SG: R-3m, No. 166
- Polymorph energy (0 for the lowest one): 16 kJ/mol of formula units
- Final energy: -8.6324 eV/atom

Unit cell a=9.1770 b=9.1770 c=9.1770 alpha=17.25 beta=17.25 gamma=17.25
Closest atoms and distances in Å follow each position.
Atoms (fractional coordinates):
Ir 0.4959 0.4959 0.4959  3 Tc 2.67, 6 Ir 2.75, 3 Pt 2.86
Ir 0.0041 0.0041 0.0041  3 Tc 2.67, 6 Ir 2.75, 3 Pt 2.86
Pt 0.2500 0.2500 0.2500  6 Pt 2.75, 6 Ir 2.86
Tc 0.7500 0.7500 0.7500  6 Ir 2.67, 6 Tc 2.75

2.
Below is a relaxed As3OsF crystal, with properties calculated at the PBE level.

Summary:
- SG: Pm-3m, No. 221
- Polymorph energy (0 for the lowest one): 204 kJ/mol of formula units
- Final energy: -4.6171 eV/atom

Unit cell a=4.3788 b=4.3788 c=4.3788 alpha=90.00 beta=90.00 gamma=90.00
Closest atoms and distances in Å follow each position.
Atoms (fractional coordinates):
F 0.0000 0.0000 0.0000  6 As 2.19
As 0.5000 0.0000 0.0000  2 F 2.19
As 0.0000 0.5000 0.0000  2 F 2.19
As 0.0000 0.0000 0.5000  2 F 2.19
Os 0.5000 0.5000 0.5000  12 As 3.10

3.
Below is a relaxed LiZr2Ga2 crystal, with properties calculated at the PBE level.

Summary:
- Energy relative to the elements: 0.03 eV/atom
- SG: I4/mmm, No. 139
- Polymorph energy (0 for the lowest one): 210 kJ/mol of formula units
- Final energy: -4.9827 eV/atom

Unit cell a=4.2070 b=4.2070 c=6.9455 alpha=72.37 beta=72.37 gamma=90.00
Closest atoms and distances in Å follow each position.
Atoms (fractional coordinates):
Ga 0.4041 0.4041 0.1918  1 Ga 2.41
Ga 0.5959 0.5959 0.8082  1 Ga 2.41
Zr 0.7500 0.2500 0.5000  4 Ga 2.86, 4 Zr 2.97
Zr 0.2500 0.7500 0.5000  4 Ga 2.86, 4 Zr 2.97
Li 0.0000 0.0000 0.0000  8 Ga 3.21

4.
Below is a relaxed La3Er2ThAs6 crystal, with properties calculated at the PBE level.

Summary:
- Energy relative to the elements: -1.53 eV/atom
- SG: C2/m, No. 12
- Final energy: -6.4695 eV/atom

Unit cell a=7.3626 b=7.3626 c=7.3999 alpha=99.56 beta=99.56 gamma=119.97
Closest atoms and distances in Å follow each position.
Atoms (fractional coordinates):
La 0.1661 0.8339 0.5000  6 As 3.05-3.08
La 0.5000 0.5000 0.5000  6 As 3.05-3.08
La 0.8339 0.1661 0.5000  6 As 3.05-3.08
As 0.2586 0.2586 0.7642  2 Er 2.94, 1 Th 2.98, 3 La 3.05-3.08
As 0.7414 0.7414 0.2358  2 Er 2.94, 1 Th 2.98, 3 La 3.05-3.08
As 0.9211 0.5839 0.7632  2 Er 2.95, 1 Th 2.98, 3 La 3.05-3.08
As 0.0789 0.4161 0.2368  2 Er 2.95, 1 Th 2.98, 3 La 3.05-3.08
As 0.4161 0.0789 0.2368  2 Er 2.95, 1 Th 2.98, 3 La 3.05-3.08
As 0.5839 0.9211 0.7632  2 Er 2.95, 1 Th 2.98, 3 La 3.05-3.08
Er 0.3333 0.6667 0.0000  6 As 2.94-2.95
Er 0.6667 0.3333 0.0000  6 As 2.94-2.95
Th 0.0000 0.0000 0.0000  6 As 2.98

5.
Below is a relaxed BaCaIn2I6 crystal, with properties calculated at the PBE level.

Summary:
- SG: R3, No. 146
- Final energy: -3.0458 eV/atom

Unit cell a=8.6495 b=8.6494 c=9.0330 alpha=61.38 beta=61.38 gamma=59.99
Closest atoms and distances in Å follow each position.
Atoms (fractional coordinates):
I 0.4284 0.6889 0.7657  1 Ca 3.19, 1 Ba 3.44, 2 In 3.48-3.50
I 0.9619 0.5821 0.2498  1 Ca 3.16, 1 Ba 3.50, 1 In 3.52
I 0.1169 0.4285 0.7658  1 Ca 3.19, 1 Ba 3.44, 2 In 3.48-3.50
I 0.6890 0.1168 0.7658  1 Ca 3.19, 1 Ba 3.44, 2 In 3.48-3.50
I 0.2062 0.9619 0.2498  1 Ca 3.16, 1 Ba 3.50, 1 In 3.53
I 0.5820 0.2063 0.2498  1 Ca 3.16, 1 Ba 3.50, 1 In 3.53
Ca 0.3224 0.3224 0.0329  6 I 3.16-3.19
Ba 0.8191 0.8192 0.5425  6 I 3.44-3.50
In 0.0160 0.0160 0.9518  6 I 3.50-3.53
In 0.5196 0.5196 0.4411  6 I 3.48-3.57

6.
Below is a relaxed Ac2PuRh9 crystal, with properties calculated at the PBE level.

Summary:
- Energy relative to the elements: -0.38 eV/atom
- SG: R-3m, No. 166
- Final energy: -7.7716 eV/atom

Unit cell a=5.3525 b=5.3525 c=9.5933 alpha=73.80 beta=73.80 gamma=60.00
Closest atoms and distances in Å follow each position.
Atoms (fractional coordinates):
Rh 0.4216 0.4216 0.2368  7 Rh 2.64-2.84
Rh 0.5784 0.5784 0.7632  7 Rh 2.64-2.84
Rh 0.0801 0.5784 0.7632  7 Rh 2.64-2.84
Rh 0.6671 0.6671 0.9987  6 Rh 2.64-2.65
Rh 0.9199 0.4216 0.2368  7 Rh 2.64-2.84
Rh 0.5000 0.5000 0.5000  6 Rh 2.84
Rh 0.5784 0.0801 0.7632  7 Rh 2.64-2.84
Rh 0.3329 0.3329 0.0013  6 Rh 2.64-2.65
Rh 0.4216 0.9199 0.2368  7 Rh 2.64-2.84
Ac 0.1374 0.1374 0.5879  9 Rh 3.11-3.19, 3 Ac 3.48
Ac 0.8626 0.8626 0.4121  9 Rh 3.11-3.19, 3 Ac 3.48
Pu 0.0000 0.0000 0.0000  18 Rh 3.09-3.43